Material: InFe3Pb
Method: DFT, SCAN
State: PBEsol geometry Values from VASP.

Cell and atoms, written as Quantum ESPRESSO input:
```
&SYSTEM
  ibrav = 0, nat = 5, ntyp = 3
/
ATOMIC_SPECIES
In 114.82 In.upf
Fe 55.84 Fe.upf
Pb 207.20 Pb.upf
ATOMIC_POSITIONS angstrom
In 0.000 0.000 0.000
Fe 0.000 2.426 2.426
Fe 2.426 0.000 2.426
Fe 2.426 2.426 0.000
Pb 2.426 2.426 2.426
CELL_PARAMETERS angstrom
4.851 0.000 0.000
0.000 4.851 0.000
0.000 0.000 4.851
```

Computed properties:
* energy: -2.3078 Ry/atom
* ΔH_f (0 K): 1.311 eV per atom
* space-group type: Pm-3m, No. 221


Material: RbLi2Ca
Method: DFT, SCAN
State: PBEsol geometry Values from VASP.

Cell and atoms, written as Quantum ESPRESSO input:
```
&SYSTEM
  ibrav = 0, nat = 8, ntyp = 3
/
ATOMIC_SPECIES
Rb 85.47 Rb.upf
Li 6.94 Li.upf
Ca 40.08 Ca.upf
ATOMIC_POSITIONS angstrom
Rb 0.000 0.000 0.000
Rb 0.000 4.596 1.870
Li 2.298 -2.217 2.805
Li 2.379 2.298 0.935
Li 2.298 6.813 -0.935
Li 2.217 2.298 4.674
Ca 4.596 0.000 1.870
Ca 0.000 0.000 3.739
CELL_PARAMETERS angstrom
-4.596 4.596 3.739
4.596 -4.596 3.739
4.596 4.596 -3.739
```

Computed properties:
* energy: -0.6235 Ry/atom
* ΔH_f (0 K): 0.312 eV per atom
* space-group type: I-42d, No. 122


Material: CaSbPb2
Method: DFT, SCAN
State: PBEsol geometry Values from VASP.

Cell and atoms, written as Quantum ESPRESSO input:
```
&SYSTEM
  ibrav = 0, nat = 4, ntyp = 3
/
ATOMIC_SPECIES
Ca 40.08 Ca.upf
Sb 121.76 Sb.upf
Pb 207.20 Pb.upf
ATOMIC_POSITIONS angstrom
Ca 0.000 0.000 0.000
Sb 2.353 2.353 0.000
Pb 0.000 2.353 2.518
Pb 2.353 0.000 2.518
CELL_PARAMETERS angstrom
4.705 0.000 0.000
0.000 4.705 0.000
0.000 0.000 5.036
```

Computed properties:
* energy: -3.6794 Ry/atom
* E_form (uncorrected): -0.439 eV per atom
* space-group type: P4/mmm, No. 123


Material: SrSnO2
Method: DFT, SCAN
State: PBEsol geometry Values from VASP.

Cell and atoms, written as Quantum ESPRESSO input:
```
&SYSTEM
  ibrav = 0, nat = 4, ntyp = 3
/
ATOMIC_SPECIES
Sr 87.62 Sr.upf
Sn 118.71 Sn.upf
O 16.00 O.upf
ATOMIC_POSITIONS angstrom
Sr 0.000 0.000 0.000
Sn 0.000 0.000 9.988
O 0.000 0.000 7.971
O 0.000 0.000 12.004
CELL_PARAMETERS angstrom
1.807 1.043 6.659
-1.807 1.043 6.659
0.000 -2.087 6.659
```

Computed properties:
* energy: -1.4365 Ry/atom
* E_form (uncorrected): -1.880 eV per atom
* space-group type: R-3m, No. 166